Here is a geometry-optimized PmBeCu2O4 structure from Alexandria via LeMat-Bulk. Energies are from PBE-GGA.

Cell lengths 4.8184, 4.8184, 4.8184 Å; angles 113.71, 112.50, 102.43 degrees
Atoms (fractional coordinates):
Pm 0.0000 0.0000 0.0000
Be 0.5000 0.5000 0.0000
Cu 0.2714 0.7714 0.5000
Cu 0.7286 0.2286 0.5000
O 0.1597 0.1577 0.6369
O 0.4792 0.8423 0.0020
O 0.5208 0.5228 0.3631
O 0.8403 0.4772 0.9980

Calculated values
space group	I222 (23)
DFT total energy	-51.43	eV for the cell shown
E_form (uncorrected)	-1.87	eV per atom